This record from Alexandria describes an optimized crystal structure of CaLaYEr. The functional is GGA-PBE.

Calculated values
Formation energy: 48 kJ/mol of formula units
Crystal system: cubic
Total magnetic moment: 0.014 Bohr magnetons per cell
VASP energy: -4.3647 eV/atom
Mass density: 5.1 g cm⁻³

abc: 5.833 5.833 5.833
angles: 60.00 60.00 60.00
Positions (direct):
Ca: 0.000 0.000 0.000
La: 0.250 0.250 0.250
Y: 0.750 0.750 0.750
Er: 0.500 0.500 0.500

This record from Alexandria describes an optimized crystal structure of Cs2PBr. The functional is GGA-PBE.

Calculated values
Energy relative to the lowest polymorph listed for this composition: 39.8 meV per atom
Crystal system: tetragonal
Total magnetic moment: 4.000 Bohr magnetons per cell
VASP energy: -2.6748 eV/atom
Mass density: 2.3 g cm⁻³
Formation energy without anion corrections: -477 meV/atom

abc: 10.871 10.871 10.871
angles: 138.84 138.84 59.62
Positions (direct):
Cs: 0.122 0.625 0.997
Cs: 0.375 0.372 0.497
Cs: 0.628 0.125 0.003
Cs: 0.875 0.878 0.503
P: 0.250 0.750 0.500
P: 0.500 0.500 0.000
Br: 0.000 0.000 0.000
Br: 0.750 0.250 0.500

This record from Alexandria describes an optimized crystal structure of NbSe4. The functional is GGA-PBE.

Calculated values
Crystal system: tetragonal
Total magnetic moment: 0.000 Bohr magnetons per cell
VASP energy: -5.3360 eV/atom
Mass density: 5.9 g cm⁻³
Formation energy without anion corrections: -534 meV/atom

abc: 5.978 5.978 6.472
angles: 90.00 90.00 90.00
Positions (direct):
Nb: 0.000 0.000 0.250
Nb: 0.000 0.000 0.750
Se: 0.136 0.335 0.000
Se: 0.136 0.665 0.500
Se: 0.335 0.136 0.500
Se: 0.335 0.864 0.000
Se: 0.665 0.136 0.000
Se: 0.665 0.864 0.500
Se: 0.864 0.335 0.500
Se: 0.864 0.665 0.000

The lowest mass density belongs to which entry? Cs2PBr

mass density of number 1 (CaLaYEr)? 5.1 g cm⁻³